Below is a relaxed structure of Li4Mn3O7, with properties calculated at the PBE+U level.

a b c (Å): 5.0874 5.1093 10.5254
angles (deg): 102.03 95.43 100.92
Positions (direct):
Li: 0.0000 0.0000 0.0000
Li: 0.0000 0.0000 0.5000
Li: 0.1605 0.2791 0.2995
Li: 0.2609 0.5801 0.5667
Li: 0.4056 0.8655 0.8471
Li: 0.5944 0.1345 0.1529
Li: 0.7391 0.4199 0.4333
Li: 0.8395 0.7209 0.7005
Mn: 0.1278 0.2959 0.7730
Mn: 0.2930 0.5670 0.0748
Mn: 0.4393 0.8466 0.3669
Mn: 0.5607 0.1534 0.6331
Mn: 0.7070 0.4330 0.9252
Mn: 0.8722 0.7041 0.2270
O: 0.0525 0.6272 0.8901
O: 0.1066 0.6439 0.3950
O: 0.2200 0.9665 0.6810
O: 0.2369 0.8970 0.1990
O: 0.3665 0.2372 0.9677
O: 0.3812 0.1851 0.4695
O: 0.4738 0.4845 0.7373
O: 0.5262 0.5155 0.2627
O: 0.6188 0.8149 0.5305
O: 0.6335 0.7628 0.0323
O: 0.7631 0.1030 0.8010
O: 0.7800 0.0335 0.3190
O: 0.8934 0.3561 0.6050
O: 0.9475 0.3728 0.1099

Calculated values
As for the electronic total energy: -179.6 eV/cell. Its volume is 260.16 Å³ per cell.